Version one
The following is a DFT calculation (GGA-PBE) of a geometry-optimized La2ZrFe structure.

```
La2ZrFe
1.0
0.0000 3.6509 3.6509
3.6509 0.0000 3.6509
3.6509 3.6509 0.0000
La Zr Fe
2 1 1
Direct
0.0000 0.0000 0.0000
0.2500 0.2500 0.2500
0.7500 0.7500 0.7500
0.5000 0.5000 0.5000
```

Density = 7.2 g cm⁻³
Calculated volume = 24.33 Å³ per atom
Symmetry = F-43m, No. 216
Magnetization = 0.6 μB/f.u.
D(E_F) = 1.946 states/eV per atom

***

Version two
The following is a DFT calculation (GGA-PBE) of a geometry-optimized La2ZrFe structure.

```
La2ZrFe
1.0
-4.9497 4.9497 2.4592
4.9497 -4.9497 2.4592
4.9497 4.9497 -2.4592
La Zr Fe
4 2 2
Direct
0.3750 0.0194 0.1444
0.7694 0.6250 0.6444
0.8750 0.2306 0.8556
0.9806 0.1250 0.3556
0.2500 0.7500 0.5000
0.5000 0.5000 0.0000
0.0000 0.0000 0.0000
0.7500 0.2500 0.5000
```

Density = 5.9 g cm⁻³
Calculated volume = 30.13 Å³ per atom
Symmetry = I-42d, No. 122
Magnetization = 0.0 μB/f.u.
D(E_F) = 1.461 states/eV per atom

***

Version three
The following is a DFT calculation (GGA-PBE) of a geometry-optimized La2ZrFe structure.

```
La2ZrFe
1.0
-1.8007 2.6627 5.1619
1.8007 -2.6627 5.1619
1.8007 2.6627 -5.1619
La Zr Fe
2 1 1
Direct
0.1927 0.1927 0.0000
0.8073 0.8073 0.0000
0.5000 0.0000 0.5000
0.0000 0.5000 0.5000
```

Density = 7.1 g cm⁻³
Calculated volume = 24.75 Å³ per atom
Symmetry = Immm, No. 71
Magnetization = 0.0 μB/f.u.
D(E_F) = 0.909 states/eV per atom

***

Which of them is the most stable, and which is the least stable? version three and version two, in that order.

***

Version one
The following is a DFT calculation (GGA-PBE) of a geometry-optimized LaZr2Fe structure.

```
LaZr2Fe
1.0
0.0000 3.5501 3.5501
3.5501 0.0000 3.5501
3.5501 3.5501 0.0000
La Zr Fe
1 2 1
Direct
0.0000 0.0000 0.0000
0.2500 0.2500 0.2500
0.5000 0.5000 0.5000
0.7500 0.7500 0.7500
```

Density = 7.0 g cm⁻³
Calculated volume = 22.37 Å³ per atom
Symmetry = F-43m, No. 216
Magnetization = 3.6 μB/f.u.
D(E_F) = 1.553 states/eV per atom

***

Version two
The following is a DFT calculation (GGA-PBE) of a geometry-optimized LaZr2Fe structure.

```
LaZr2Fe
1.0
3.3285 0.0000 0.0000
0.0000 4.2153 0.0000
-0.9033 0.0000 6.5913
La Zr Fe
1 2 1
Direct
0.0000 0.0000 0.0000
0.1439 0.0000 0.5723
0.6075 0.5000 0.3499
0.5536 0.5000 0.7123
```

Density = 6.8 g cm⁻³
Calculated volume = 23.12 Å³ per atom
Symmetry = Pm, No. 6
Magnetization = 0.0 μB/f.u.
D(E_F) = 1.323 states/eV per atom

***

Which of them is the most stable, and which is the least stable? version two and version one, in that order.